Model a:
{
  "formula": "Sc2Si2Ag",
  "functional": "PBE",
  "state": "relaxed",
  "dos_at_fermi_per_ev_cell": 5.1,
  "total_magnetization_mub_per_atom": 0.00,
  "lattice": [[-5.3148, -3.8712, 1.2903], [2.2945, -4.5872, -4.3117], [2.0123, -1.7760, 2.9603]],
  "species": ["Ag", "Ag", "Sc", "Sc", "Sc", "Sc", "Si", "Si", "Si", "Si"],
  "frac_coords": [[0.5000, 0.5000, 0.0000], [0.0000, 0.0000, 0.0000], [0.3265, 0.1735, 0.5000], [0.1735, 0.6735, 0.5000], [0.8265, 0.3265, 0.5000], [0.6735, 0.8265, 0.5000], [0.6244, 0.1244, 0.0000], [0.3756, 0.8756, 0.0000], [0.1244, 0.3756, 0.0000], [0.8756, 0.6244, 0.0000]]
}

Model b:
{
  "formula": "Sc2Si2Ag",
  "functional": "PBE",
  "state": "relaxed",
  "dos_at_fermi_per_ev_cell": 3.4,
  "total_magnetization_mub_per_atom": 0.00,
  "lattice": [[-2.4406, -2.9429, 1.2499], [1.7095, -4.8018, -1.4956], [2.2316, -2.9957, 3.7766]],
  "species": ["Sc", "Sc", "Ag", "Si", "Si"],
  "frac_coords": [[0.7953, 0.7047, 0.7047], [0.2047, 0.2953, 0.2953], [0.0000, 0.0000, 0.0000], [0.5000, 0.7108, 0.2892], [0.5000, 0.2892, 0.7108]]
}

What are the relative energies? In meV/atom: model a 0; model b 78.

Model a:
{
  "formula": "Sm4ScAg",
  "functional": "PBE",
  "state": "relaxed",
  "dos_at_fermi_per_ev_cell": 15.3,
  "total_magnetization_mub_per_atom": 0.00,
  "lattice": [[-0.0983, -4.9755, -1.7434], [4.0708, -1.7013, 4.6260], [-8.2511, 0.3658, 7.3955]],
  "species": ["Sm", "Sm", "Sm", "Sm", "Sm", "Sm", "Sm", "Sm", "Sc", "Sc", "Ag", "Ag"],
  "frac_coords": [[0.0684, 0.7154, 0.1369], [0.7441, 0.0869, 0.4882], [0.9316, 0.2154, 0.8631], [0.5300, 0.3713, 0.0600], [0.2559, 0.5869, 0.5118], [0.4700, 0.8713, 0.9400], [0.6678, 0.5503, 0.3356], [0.3322, 0.0503, 0.6644], [0.8677, 0.7222, 0.7354], [0.1323, 0.2222, 0.2646], [0.6091, 0.9873, 0.2183], [0.3909, 0.4873, 0.7817]]
}

Model b:
{
  "formula": "Sm4ScAg",
  "functional": "PBE",
  "state": "relaxed",
  "dos_at_fermi_per_ev_cell": 7.4,
  "total_magnetization_mub_per_atom": 0.00,
  "lattice": [[-2.1204, 0.7194, -2.8061], [2.7745, -0.4956, -2.2236], [-3.1907, -13.3376, -1.0092]],
  "species": ["Sm", "Sm", "Sm", "Sm", "Sc", "Ag"],
  "frac_coords": [[0.0000, 0.0000, 0.3560], [0.5000, 0.5000, 0.1667], [0.5000, 0.5000, 0.8333], [0.0000, 0.0000, 0.6440], [0.0000, 0.0000, 0.0000], [0.5000, 0.5000, 0.5000]]
}

What are the relative energies? In meV/atom: model a 126; model b 0.

Model a:
{
  "formula": "SmScZnAg",
  "functional": "PBE",
  "state": "relaxed",
  "dos_at_fermi_per_ev_cell": 3.7,
  "total_magnetization_mub_per_atom": 0.00,
  "lattice": [[-3.1674, 1.9468, -3.3743], [1.1505, -0.1220, -4.8857], [-2.5357, -3.0266, -3.1013]],
  "species": ["Sm", "Ag", "Zn", "Sc"],
  "frac_coords": [[0.7500, 0.7500, 0.7500], [0.5000, 0.5000, 0.5000], [0.0000, 0.0000, 0.0000], [0.2500, 0.2500, 0.2500]]
}

Model b:
{
  "formula": "SmScZnAg",
  "functional": "PBE",
  "state": "relaxed",
  "dos_at_fermi_per_ev_cell": 4.2,
  "total_magnetization_mub_per_atom": 0.00,
  "lattice": [[3.5112, 0.0000, 0.0000], [0.0000, 3.5112, 0.0000], [0.0000, 0.0000, 7.1551]],
  "species": ["Zn", "Ag", "Sm", "Sc"],
  "frac_coords": [[0.0000, 0.0000, 0.3894], [0.0000, 0.0000, 0.8227], [0.5000, 0.5000, 0.1168], [0.5000, 0.5000, 0.5991]]
}

What are the relative energies? In meV/atom: model a 25; model b 0.